Pa2Si3SnPt4 (PBE-GGA, optimized geometry); magnetization = 0.44 μB/f.u.; density of states at the Fermi level = 0.717 states/eV per atom; ΔE_f (raw) = -0.821 eV per atom; SG = P-4m2
1.0
-0.7630 4.1346 -0.0983
-3.9109 -0.7538 -1.3503
-3.3599 -0.3836 9.9455
Si Sn Pa Pt
3 1 2 4
Cartesian
-3.3259 1.7311 8.6664
-2.3710 -0.4244 0.5547
-1.6800 -0.1918 4.9727
-4.0169 1.4986 4.2484
-4.5283 -0.6707 6.9405
-1.1686 1.9774 2.2807
0.0000 0.0000 0.0000
-2.5769 1.8167 6.4492
-3.1200 -0.5099 2.7720
-2.3370 1.6904 -0.7243